# 1
The following is a PBE-GGA calculation of crystalline Sc4ZnPdRh2 at its relaxed geometry, from Alexandria.

Summary:
- spin magnetization (Bohr magnetons per cell) = 0.00
- energy of formation from the pure elements (eV/f.u.) = -6.51
- space group = R-3m, No. 166

Cell and atoms, written as extended XYZ:
```
8
Lattice="2.316 1.337 7.584 -2.316 1.337 7.584 0.000 -2.674 7.584" Properties=species:S:1:pos:R:3 pbc="T T T"
Sc 0.000 0.000 2.823
Sc 0.000 0.000 8.516
Sc 0.000 0.000 14.235
Sc 0.000 0.000 19.928
Zn 0.000 0.000 11.375
Pd 0.000 0.000 0.000
Rh 0.000 0.000 5.681
Rh 0.000 0.000 17.070
```

---

# 2
The following is a PBE-GGA calculation of crystalline ZrScPdRh2 at its relaxed geometry, from Alexandria.

Summary:
- spin magnetization (Bohr magnetons per cell) = 0.00
- energy of formation from the pure elements (eV/f.u.) = 3.18
- space group = P4/mmm, No. 123

Cell and atoms, written as extended XYZ:
```
5
Lattice="4.914 0.000 0.000 0.000 4.914 0.000 0.000 0.000 4.656" Properties=species:S:1:pos:R:3 pbc="T T T"
Zr 0.000 0.000 0.000
Sc 2.457 2.457 0.000
Pd 0.000 0.000 2.328
Rh 0.000 2.457 2.328
Rh 2.457 0.000 2.328
```

---

# 3
The following is a PBE-GGA calculation of crystalline PdRhSe at its relaxed geometry, from Alexandria.

Summary:
- spin magnetization (Bohr magnetons per cell) = 0.00
- space group = Cmc2_1, No. 36
- formation energy (no corrections) (meV/atom) = -85

Cell and atoms, written as extended XYZ:
```
6
Lattice="1.767 -6.029 0.000 1.767 6.029 0.000 0.000 0.000 5.079" Properties=species:S:1:pos:R:3 pbc="T T T"
Pd 1.767 5.535 2.540
Pd 1.767 -5.535 0.000
Rh 1.767 1.659 3.323
Rh 1.767 -1.659 0.784
Se 1.767 3.878 4.305
Se 1.767 -3.878 1.765
```

---

# 4
The following is a PBE-GGA calculation of crystalline Pd2RhSe at its relaxed geometry, from Alexandria.

Summary:
- spin magnetization (Bohr magnetons per cell) = 0.00
- space group = I-42d, No. 122
- formation energy (no corrections) (meV/atom) = 103

Cell and atoms, written as extended XYZ:
```
8
Lattice="-1.868 1.868 9.473 1.868 -1.868 9.473 1.868 1.868 -9.473" Properties=species:S:1:pos:R:3 pbc="T T T"
Pd 2.802 0.928 -2.368
Pd 0.928 0.934 2.368
Pd -0.934 0.939 7.104
Pd 0.939 0.934 11.841
Rh 0.000 0.000 0.000
Rh 0.000 1.868 4.736
Se 1.868 0.000 4.736
Se 0.000 0.000 9.473
```

---

# 5
The following is a PBE-GGA calculation of crystalline PdRhSe3 at its relaxed geometry, from Alexandria.

Summary:
- spin magnetization (Bohr magnetons per cell) = 0.00
- space group = R-3, No. 148
- formation energy (no corrections) (meV/atom) = -322

Cell and atoms, written as extended XYZ:
```
10
Lattice="3.228 1.864 5.598 -3.228 1.864 5.598 0.000 -3.727 5.598" Properties=species:S:1:pos:R:3 pbc="T T T"
Pd 0.000 0.000 2.493
Pd 0.000 0.000 14.303
Rh 0.000 0.000 5.853
Rh 0.000 0.000 10.942
Se -1.286 -1.826 6.967
Se -2.224 0.200 9.828
Se -0.939 2.026 6.967
Se 0.939 -2.026 9.828
Se 2.224 -0.200 6.967
Se 1.286 1.826 9.828
```

---

# 6
The following is a PBE-GGA calculation of crystalline Pd5RhSe4 at its relaxed geometry, from Alexandria.

Summary:
- spin magnetization (Bohr magnetons per cell) = 0.00
- space group = C2/m, No. 12
- formation energy (no corrections) (meV/atom) = -202

Cell and atoms, written as extended XYZ:
```
10
Lattice="8.194 -1.918 0.000 8.194 1.918 0.000 -1.157 0.000 5.647" Properties=species:S:1:pos:R:3 pbc="T T T"
Pd 0.000 0.000 0.000
Pd 4.289 0.000 2.193
Pd 4.071 0.000 5.118
Pd 11.160 0.000 0.530
Pd 10.942 0.000 3.454
Rh -0.579 0.000 2.824
Se 1.362 0.000 4.499
Se 6.307 0.000 3.918
Se 8.924 0.000 1.730
Se 13.869 0.000 1.148
```

---

# 7
The following is a PBE-GGA calculation of crystalline Pd3RhSe2 at its relaxed geometry, from Alexandria.

Summary:
- spin magnetization (Bohr magnetons per cell) = 0.00
- space group = C2/m, No. 12
- formation energy (no corrections) (meV/atom) = -131

Cell and atoms, written as extended XYZ:
```
12
Lattice="7.258 -1.833 0.000 7.258 1.833 0.000 -2.741 0.000 7.887" Properties=species:S:1:pos:R:3 pbc="T T T"
Pd -0.157 0.000 1.455
Pd 1.640 0.000 4.873
Pd 2.949 0.000 7.586
Pd 8.826 0.000 0.300
Pd 10.135 0.000 3.014
Pd 11.932 0.000 6.431
Rh 5.157 0.000 2.605
Rh 6.617 0.000 5.281
Se 0.062 0.000 6.827
Se 4.108 0.000 4.816
Se 7.667 0.000 3.070
Se 11.712 0.000 1.060
```

---

# 8
The following is a PBE-GGA calculation of crystalline PdRhSe2 at its relaxed geometry, from Alexandria.

Summary:
- spin magnetization (Bohr magnetons per cell) = 0.00
- space group = R-3m, No. 166
- formation energy (no corrections) (meV/atom) = -170

Cell and atoms, written as extended XYZ:
```
4
Lattice="1.803 1.041 7.544 -1.803 1.041 7.544 0.000 -2.082 7.544" Properties=species:S:1:pos:R:3 pbc="T T T"
Pd 0.000 0.000 0.000
Rh 0.000 0.000 11.316
Se 0.000 0.000 2.405
Se 0.000 0.000 20.227
```

---

# 9
The following is a PBE-GGA calculation of crystalline Pd5RhSe12 at its relaxed geometry, from Alexandria.

Summary:
- spin magnetization (Bohr magnetons per cell) = 0.00
- space group = C2/m, No. 12
- formation energy (no corrections) (meV/atom) = -281

Cell and atoms, written as extended XYZ:
```
18
Lattice="3.285 -5.653 0.000 3.285 5.653 0.000 -0.007 0.000 10.558" Properties=species:S:1:pos:R:3 pbc="T T T"
Pd 0.000 0.000 0.000
Pd 3.281 3.771 5.279
Pd 3.285 1.885 0.000
Pd 3.285 -1.885 0.000
Pd 3.281 -3.771 5.279
Rh 3.281 0.000 5.279
Se 1.112 1.878 1.296
Se 2.179 1.860 6.550
Se 1.130 0.000 3.994
Se 2.164 0.000 9.256
Se 1.112 -1.878 1.296
Se 2.179 -1.860 6.550
Se 4.383 1.860 4.008
Se 5.450 1.878 9.262
Se 4.398 0.000 1.302
Se 5.432 0.000 6.564
Se 4.383 -1.860 4.008
Se 5.450 -1.878 9.262
```

---

# 10
The following is a PBE-GGA calculation of crystalline PdRhSe2 at its relaxed geometry, from Alexandria.

Summary:
- spin magnetization (Bohr magnetons per cell) = 0.00
- space group = Pna2_1, No. 33
- formation energy (no corrections) (meV/atom) = -170

Cell and atoms, written as extended XYZ:
```
16
Lattice="6.569 0.000 0.000 0.000 8.523 0.000 0.000 0.000 5.904" Properties=species:S:1:pos:R:3 pbc="T T T"
Pd 0.044 0.809 0.000
Pd 3.241 5.070 2.952
Pd 3.328 3.453 0.000
Pd 6.526 7.714 2.952
Rh 0.736 3.588 2.956
Rh 2.548 7.850 0.004
Rh 4.021 0.673 2.956
Rh 5.833 4.935 0.004
Se 0.376 6.991 0.590
Se 0.835 3.152 0.585
Se 2.450 7.413 3.537
Se 2.908 2.730 3.542
Se 3.661 5.793 0.590
Se 4.119 1.110 0.585
Se 5.734 5.371 3.537
Se 6.193 1.532 3.542
```

---

# 11
The following is a PBE-GGA calculation of crystalline Pd2RhSe6 at its relaxed geometry, from Alexandria.

Summary:
- spin magnetization (Bohr magnetons per cell) = 0.00
- space group = C2/m, No. 12
- formation energy (no corrections) (meV/atom) = -300

Cell and atoms, written as extended XYZ:
```
9
Lattice="5.450 -1.925 0.000 5.450 1.925 0.000 -4.592 0.000 9.776" Properties=species:S:1:pos:R:3 pbc="T T T"
Pd 0.291 0.000 3.248
Pd 6.016 0.000 6.528
Rh 5.450 0.000 0.000
Se -3.465 0.000 8.614
Se -0.594 0.000 7.741
Se 1.739 0.000 5.335
Se 4.569 0.000 4.440
Se 6.901 0.000 2.035
Se 9.772 0.000 1.162
```

---

# 12
The following is a PBE-GGA calculation of crystalline PdRhSe3 at its relaxed geometry, from Alexandria.

Summary:
- spin magnetization (Bohr magnetons per cell) = 0.00
- space group = Pm-3m, No. 221
- formation energy (no corrections) (meV/atom) = 585

Cell and atoms, written as extended XYZ:
```
5
Lattice="4.854 0.000 0.000 0.000 4.854 0.000 0.000 0.000 4.854" Properties=species:S:1:pos:R:3 pbc="T T T"
Pd 0.000 0.000 0.000
Rh 2.427 2.427 2.427
Se 0.000 2.427 2.427
Se 2.427 0.000 2.427
Se 2.427 2.427 0.000
```

---

Calculated D(E_F) (states/eV/cell), listed in the same order as above: 4.48, 6.29, 4.30, 7.77, 6.72, 6.76, 7.00, 6.58, 4.99, 10.38, 2.87, 8.17